#P
## Sc4CSe3 (GGA-PBE)

Data for a geometry-optimized Sc4CSe3 structure.

Unit cell a=3.673 b=6.554 c=6.554 alpha=108.91 beta=90.00 gamma=90.00
Fractional positions:
Sc 0.500 0.217 0.783
Sc 0.000 0.794 0.794
C 0.500 0.000 0.000
Se 0.000 0.000 0.500
Se 0.500 0.500 0.500
Sc 0.500 0.783 0.217
Sc 0.000 0.206 0.206
Se 0.000 0.500 0.000

Output
The space-group type is Cmmm (65). As for the crystal system: orthorhombic.


#Q
## Sc4CSe3 (GGA-PBE)

Data for a geometry-optimized Sc4CSe3 structure.

Unit cell a=5.287 b=8.014 c=8.491 alpha=90.00 beta=90.00 gamma=90.00
Fractional positions:
Se 0.567 0.343 0.274
C 0.038 0.183 0.000
Se 0.567 0.343 0.726
Sc 0.066 0.311 0.219
Sc 0.584 0.183 0.000
Sc 0.084 0.817 0.500
Sc 0.566 0.689 0.719
Sc 0.066 0.311 0.781
Sc 0.566 0.689 0.281
Se 0.065 0.141 0.500
Se 0.067 0.657 0.774
Se 0.565 0.859 0.000
Sc 0.063 0.916 0.000
Sc 0.563 0.084 0.500
Se 0.067 0.657 0.226
C 0.538 0.817 0.500

Output
The space-group type is Pmn2_1 (31). As for the crystal system: orthorhombic.


Most favorable first, least favorable last: #P, #Q


#P
## Sc5CSe4 (GGA-PBE)

Data for a geometry-optimized Sc5CSe4 structure.

Unit cell a=3.735 b=3.735 c=14.098 alpha=97.61 beta=97.61 gamma=90.00
Fractional positions:
Sc 0.709 0.709 0.418
Sc 0.500 0.500 0.000
Se 0.192 0.192 0.384
C 0.000 0.000 0.000
Se 0.401 0.401 0.801
Sc 0.078 0.078 0.155
Se 0.599 0.599 0.199
Sc 0.922 0.922 0.845
Se 0.808 0.808 0.616
Sc 0.291 0.291 0.582

Output
The space-group type is I4/mmm (139). As for the crystal system: tetragonal.


#Q
## Sc5CSe4 (GGA-PBE)

Data for a geometry-optimized Sc5CSe4 structure.

Unit cell a=5.313 b=6.576 c=6.576 alpha=80.61 beta=66.17 gamma=66.17
Fractional positions:
Se 0.195 0.213 0.398
Sc 0.501 0.000 0.000
Sc 0.750 0.163 0.339
Se 0.807 0.787 0.602
C 0.001 0.000 0.000
Sc 0.252 0.837 0.661
Sc 0.089 0.661 0.163
Sc 0.913 0.339 0.837
Se 0.594 0.602 0.213
Se 0.408 0.398 0.787

Output
The space-group type is I4/m (87). As for the crystal system: tetragonal.


Most favorable first, least favorable last: #Q, #P


#P
## Sc4C2Se (GGA-PBE)

Data for a geometry-optimized Sc4C2Se structure.

Unit cell a=3.470 b=5.902 c=11.614 alpha=90.00 beta=90.00 gamma=107.09
Fractional positions:
Sc 0.926 0.851 0.750
Sc 0.759 0.518 0.395
Sc 0.500 0.000 0.000
C 0.866 0.732 0.939
C 0.866 0.732 0.561
Se 0.610 0.220 0.750
Sc 0.241 0.482 0.895
Se 0.390 0.780 0.250
Sc 0.241 0.482 0.605
C 0.134 0.268 0.061
Sc 0.074 0.149 0.250
Sc 0.759 0.518 0.105
Sc 0.500 0.000 0.500
C 0.134 0.268 0.439

Output
The space-group type is Cmcm (63). As for the crystal system: orthorhombic.


#Q
## Sc4C2Se (GGA-PBE)

Data for a geometry-optimized Sc4C2Se structure.

Unit cell a=7.181 b=7.181 c=7.179 alpha=119.95 beta=119.95 gamma=90.11
Fractional positions:
Sc 0.807 0.602 0.204
Se 0.000 0.000 0.000
C 0.125 0.375 0.750
Sc 0.852 0.557 0.704
Sc 0.398 0.602 0.204
Sc 0.398 0.602 0.796
C 0.625 0.875 0.250
Sc 0.852 0.148 0.296
C 0.625 0.375 0.250
C 0.625 0.375 0.750
Sc 0.398 0.193 0.796
Sc 0.852 0.148 0.704
Sc 0.443 0.148 0.296
Se 0.250 0.750 0.500

Output
The space-group type is I4_1/amd (141). As for the crystal system: tetragonal.


Most favorable first, least favorable last: #P, #Q


#P
## Sc4CSe (GGA-PBE)

Data for a geometry-optimized Sc4CSe structure.

Unit cell a=5.992 b=6.303 c=7.668 alpha=107.05 beta=105.47 gamma=107.56
Fractional positions:
C 0.813 0.063 0.125
Se 0.329 0.579 0.159
Se 0.671 0.421 0.841
Sc 0.842 0.617 0.618
Sc 0.724 0.998 0.382
Sc 0.158 0.383 0.382
Sc 0.440 0.731 0.885
Sc 0.055 0.846 0.115
Sc 0.560 0.269 0.115
C 0.187 0.937 0.875
Sc 0.945 0.154 0.885
Sc 0.276 0.002 0.618

Output
The space-group type is C2/c (15). As for the crystal system: monoclinic.


#Q
## Sc4CSe (GGA-PBE)

Data for a geometry-optimized Sc4CSe structure.

Unit cell a=3.484 b=5.615 c=6.408 alpha=93.65 beta=90.00 gamma=90.00
Fractional positions:
C 0.000 0.000 0.000
Se 0.500 0.000 0.500
Sc 0.000 0.253 0.288
Sc 0.500 0.771 0.119
Sc 0.500 0.229 0.881
Sc 0.000 0.747 0.712

Output
The space-group type is P2/m (10). As for the crystal system: monoclinic.


Most favorable first, least favorable last: #P, #Q